1.
The following is a DFT calculation (GGA-PBE) of CaNiAg2 after structural relaxation.

Unit cell a=5.1307 b=5.1307 c=5.1307 alpha=131.30 beta=131.30 gamma=71.34
Last column: nearest neighbours and their distance in Å.
Sites, in units of the cell vectors:
1 Ca 0.0000 0.0000 0.0000  8 Ag 2.97-2.99, 4 Ni 2.97
2 Ni 0.2500 0.7500 0.5000  8 Ag 2.97-2.99, 4 Ca 2.97
3 Ag 0.5000 0.5000 0.0000  4 Ag 2.97, 4 Ni 2.97, 4 Ca 2.99
4 Ag 0.7500 0.2500 0.5000  4 Ag 2.97, 4 Ca 2.97, 4 Ni 2.99

Results
Size of the total moment in μB per formula unit: 0.0
Energy in eV per atom: -3.37
Symmetry: I-4m2



2.
The following is a DFT calculation (GGA-PBE) of TePb4Se3 after structural relaxation.

Unit cell a=7.7148 b=7.7148 c=4.4528 alpha=90.00 beta=90.00 gamma=109.48
Last column: nearest neighbours and their distance in Å.
Sites, in units of the cell vectors:
1 Te 0.0000 0.0000 0.0000  6 Pb 3.21-3.22
2 Pb 0.2550 0.7450 0.0000  5 Se 3.09-3.15, 1 Te 3.21
3 Pb 0.2606 0.2606 0.5000  4 Se 3.08-3.15, 2 Te 3.22
4 Pb 0.7394 0.7394 0.5000  4 Se 3.08-3.15, 2 Te 3.22
5 Pb 0.7450 0.2550 0.0000  5 Se 3.09-3.15, 1 Te 3.21
6 Se 0.0000 0.5000 0.5000  6 Pb 3.15
7 Se 0.5000 0.0000 0.5000  6 Pb 3.15
8 Se 0.5000 0.5000 0.0000  6 Pb 3.08-3.09

Results
Size of the total moment in μB per formula unit: 0.0
Energy in eV per atom: -4.07
Symmetry: Cmmm
Energy relative to the lowest polymorph listed for this composition in meV per atom: 0
ΔE_f (raw) in eV/f.u.: -4.1



- What is the formula in the first record?
  CaNiAg2



- Number 2 is which compound?
  TePb4Se3



- Which formula does entry 1 have?
  CaNiAg2